Al2CdCo2 | Alexandria | PBE | relaxed; energy relative to the elements = -219.3 meV/atom; offset from the most stable computed form = 0.6 kJ per mole of atoms; M_tot = 0.000 μB/cell; space-group type = P4/mbm (127); energy = -4.742 eV per atom
1.0
7.0596 0.0000 0.0000
0.0000 7.0596 0.0000
0.0000 0.0000 2.7659
Al Cd Co
4 2 4
direct
0.1338 0.3662 0.0000
0.3662 0.8662 0.0000
0.6338 0.1338 0.0000
0.8662 0.6338 0.0000
0.0000 0.0000 0.0000
0.5000 0.5000 0.0000
0.1586 0.6586 0.5000
0.3414 0.1586 0.5000
0.6586 0.8414 0.5000
0.8414 0.3414 0.5000